This record from the Alexandria database describes an optimized crystal structure of Dy6InTc2. The functional is PBE. Values from VASP.

```
&SYSTEM
  ibrav = 0, nat = 18, ntyp = 3
/
ATOMIC_SPECIES
Dy 162.50 Dy.upf
In 114.82 In.upf
Tc 98.00 Tc.upf
ATOMIC_POSITIONS crystal
Dy 0.907 0.717 0.190
Dy 0.786 0.236 0.023
Dy 0.527 0.717 0.810
Dy 0.473 0.283 0.190
Dy 0.214 0.236 0.450
Dy 0.705 0.387 0.682
Dy 0.786 0.764 0.550
Dy 0.214 0.764 0.977
Dy 0.295 0.977 0.682
Dy 0.295 0.613 0.318
Dy 0.093 0.283 0.810
Dy 0.705 0.023 0.318
In 0.000 0.000 0.000
In 0.000 0.500 0.500
Tc 0.632 0.000 0.632
Tc 0.500 0.615 0.115
Tc 0.500 0.385 0.885
Tc 0.368 0.000 0.368
CELL_PARAMETERS angstrom
-8.133 2.552 0.313
0.680 -8.479 0.632
4.531 3.070 6.543
```

**Total DFT energy (no corrections)**: -105.5 eV/cell
**Formation enthalpy at 0 K**: -0.184 eV per atom
**Symmetry**: Immm, No. 71
**ρ**: 9.0 g/cm³